No. 1
Material: Y4Sb2PbSe
Method: DFT, PBE
State: optimized geometry

Calculated values
As for the total energy: -50.50 eV/cell. The formation energy (no corrections) is -1151 meV/atom. The total moment comes out at 0.0000 μB/atom. The symmetry is P2/m, No. 10.

```
Y4Sb2PbSe
1.0
4.322 0.000 0.000
0.000 7.521 -0.160
0.000 2.636 7.067
Y Sb Se Pb
4 2 1 1
direct
0.000 0.748 0.745 Y
0.000 0.252 0.255 Y
0.500 0.254 0.747 Y
0.500 0.746 0.253 Y
0.000 0.000 0.000 Sb
0.500 0.000 0.500 Sb
0.000 0.500 0.500 Se
0.500 0.500 0.000 Pb
```

No. 2
Material: Y6SbPb2Se3
Method: DFT, PBE
State: optimized geometry

Calculated values
As for the total energy: -75.80 eV/cell. The formation energy (no corrections) is -1252 meV/atom. The total moment comes out at 0.0000 μB/atom. The symmetry is C2/m, No. 12.

```
Y6SbPb2Se3
1.0
4.273 0.000 0.000
0.000 8.547 0.323
-2.137 -2.449 8.979
Sb Y Se Pb
1 6 3 2
direct
0.500 0.000 0.000 Sb
0.001 0.746 0.002 Y
0.332 0.922 0.663 Y
0.336 0.411 0.672 Y
0.999 0.254 0.998 Y
0.668 0.078 0.337 Y
0.664 0.589 0.328 Y
0.834 0.166 0.669 Se
0.500 0.500 0.000 Se
0.166 0.834 0.331 Se
0.167 0.333 0.334 Pb
0.833 0.667 0.666 Pb
```

No. 3
Material: SiSbPb2
Method: DFT, PBE
State: optimized geometry

Calculated values
As for the total energy: -15.64 eV/cell. The formation energy (no corrections) is 331 meV/atom. The total moment comes out at 0.0000 μB/atom. The symmetry is Cmmm, No. 65. The energy above the most stable polymorph in this dataset comes out at 0.131 eV/atom.

```
SiSbPb2
1.0
3.356 -0.119 0.000
-0.386 3.336 0.000
0.000 0.000 9.748
Si Sb Pb
1 1 2
direct
0.500 0.500 0.750 Si
0.500 0.500 0.250 Sb
0.000 0.000 0.530 Pb
0.000 0.000 0.970 Pb
```

Q: Which value of total moment does entry 1 give?
A: 0.0000 μB/atom